VASP calculation (PBE+U) on a relaxed structure of Na3Er2NiO6.

Cell lengths 5.656, 5.656, 5.829 Å; angles 99.08, 99.08, 120.13 degrees
Atoms (fractional coordinates):
Na 0.000 0.000 0.000
Na 0.343 0.657 0.000
Na 0.657 0.343 0.000
Er 0.168 0.832 0.500
Er 0.832 0.168 0.500
Ni 0.500 0.500 0.500
O 0.115 0.431 0.289
O 0.256 0.256 0.703
O 0.431 0.115 0.289
O 0.569 0.885 0.711
O 0.744 0.744 0.297
O 0.885 0.569 0.711

Properties
- E (eV/cell) = -71.5
- magnetic moment (Bohr magnetons per cell) = 3.1
- calculated volume (Å³/atom) = 12.75
- SG = C2/m
- density of states at the Fermi level (states/eV per atom) = 0.0000